1.
Here is crystalline Zn3Ir at its relaxed geometry from the Alexandria database. Energies are from GGA-PBEsol.

a = 3.669 Å, b = 3.669 Å, c = 4.763 Å
α = 112.65°, β = 112.65°, γ = 90.00°
Fractional coordinates of all 4 atoms:
Zn  0.250  0.750  0.500
Zn  0.750  0.250  0.500
Zn  0.500  0.500  0.000
Ir  0.000  0.000  0.000

Summary:
**SG**: I4/mmm (139)
**V**: 53.8 Å³/f.u.
**Magnetic moment**: 0.000 μB per formula unit
**Energy relative to the elements**: -0.22 eV/atom

2.
Here is crystalline Zn8Ir at its relaxed geometry from the Alexandria database. Energies are from GGA-PBEsol.

a = 3.701 Å, b = 6.056 Å, c = 6.056 Å
α = 84.64°, β = 72.21°, γ = 72.21°
Fractional coordinates of all 9 atoms:
Ir  0.000  0.000  0.000
Zn  0.335  0.000  0.331
Zn  0.665  0.000  0.669
Zn  0.668  0.332  0.332
Zn  0.335  0.331  0.000
Zn  0.000  0.332  0.668
Zn  0.665  0.669  0.000
Zn  0.332  0.668  0.668
Zn  0.000  0.668  0.332

Summary:
**SG**: I4/mmm (139)
**V**: 123.1 Å³/f.u.
**Magnetic moment**: 0.000 μB per formula unit
**Energy relative to the elements**: -0.07 eV/atom

3.
Here is crystalline Zn5Ir at its relaxed geometry from the Alexandria database. Energies are from GGA-PBEsol.

a = 2.839 Å, b = 5.036 Å, c = 6.274 Å
α = 105.31°, β = 90.00°, γ = 106.37°
Fractional coordinates of all 6 atoms:
Zn  0.391  0.782  0.267
Zn  0.668  0.336  0.336
Zn  0.053  0.106  0.609
Zn  0.338  0.676  0.676
Zn  0.717  0.434  0.945
Ir  0.000  0.000  0.000

Summary:
**SG**: Cm (8)
**V**: 82.7 Å³/f.u.
**Magnetic moment**: 0.000 μB per formula unit
**Energy relative to the elements**: -0.11 eV/atom

4.
Here is crystalline Zn3Ir at its relaxed geometry from the Alexandria database. Energies are from GGA-PBEsol.

a = 2.760 Å, b = 4.890 Å, c = 4.890 Å
α = 116.55°, β = 100.84°, γ = 100.84°
Fractional coordinates of all 4 atoms:
Ir  0.000  0.000  0.000
Zn  0.500  0.500  0.000
Zn  0.500  0.000  0.500
Zn  0.000  0.500  0.500

Summary:
**SG**: R-3m (166)
**V**: 55.1 Å³/f.u.
**Magnetic moment**: 0.000 μB per formula unit
**Energy relative to the elements**: -0.07 eV/atom

5.
Here is crystalline ZnIr at its relaxed geometry from the Alexandria database. Energies are from GGA-PBEsol.

a = 2.755 Å, b = 2.755 Å, c = 4.169 Å
α = 90.00°, β = 90.00°, γ = 120.00°
Fractional coordinates of all 2 atoms:
Zn  0.333  0.667  0.500
Ir  0.000  0.000  0.000

Summary:
**SG**: P-6m2 (187)
**V**: 27.4 Å³/f.u.
**Magnetic moment**: 0.000 μB per formula unit
**Energy relative to the elements**: -0.17 eV/atom

6.
Here is crystalline ZnIr3 at its relaxed geometry from the Alexandria database. Energies are from GGA-PBEsol.

a = 2.721 Å, b = 2.721 Å, c = 8.821 Å
α = 81.13°, β = 81.13°, γ = 60.00°
Fractional coordinates of all 4 atoms:
Zn  0.500  0.500  0.500
Ir  0.751  0.751  0.748
Ir  0.000  0.000  0.000
Ir  0.249  0.249  0.252

Summary:
**SG**: R-3m (166)
**V**: 55.6 Å³/f.u.
**Magnetic moment**: 0.000 μB per formula unit
**Energy relative to the elements**: -0.05 eV/atom

7.
Here is crystalline ZnIr2 at its relaxed geometry from the Alexandria database. Energies are from GGA-PBEsol.

a = 2.726 Å, b = 5.095 Å, c = 6.391 Å
α = 102.97°, β = 90.00°, γ = 105.52°
Fractional coordinates of all 6 atoms:
Zn  0.054  0.107  0.610
Zn  0.723  0.445  0.948
Ir  0.998  0.995  0.995
Ir  0.394  0.788  0.284
Ir  0.669  0.339  0.331
Ir  0.329  0.658  0.666

Summary:
**SG**: Cm (8)
**V**: 41.6 Å³/f.u.
**Magnetic moment**: 0.000 μB per formula unit
**Energy relative to the elements**: -0.08 eV/atom

8.
Here is crystalline Zn2Ir3 at its relaxed geometry from the Alexandria database. Energies are from GGA-PBEsol.

a = 2.732 Å, b = 2.732 Å, c = 10.779 Å
α = 82.72°, β = 82.72°, γ = 60.00°
Fractional coordinates of all 5 atoms:
Zn  0.600  0.600  0.199
Zn  0.400  0.400  0.801
Ir  0.000  0.000  0.000
Ir  0.799  0.799  0.602
Ir  0.201  0.201  0.398

Summary:
**SG**: R-3m (166)
**V**: 68.9 Å³/f.u.
**Magnetic moment**: 0.000 μB per formula unit
**Energy relative to the elements**: -0.11 eV/atom

9.
Here is crystalline ZnIr at its relaxed geometry from the Alexandria database. Energies are from GGA-PBEsol.

a = 2.764 Å, b = 4.506 Å, c = 5.015 Å
α = 112.94°, β = 106.00°, γ = 90.00°
Fractional coordinates of all 4 atoms:
Zn  0.615  0.789  0.230
Zn  0.385  0.211  0.770
Ir  0.134  0.295  0.268
Ir  0.866  0.705  0.732

Summary:
**SG**: C2/m (12)
**V**: 27.4 Å³/f.u.
**Magnetic moment**: 0.000 μB per formula unit
**Energy relative to the elements**: -0.18 eV/atom

10.
Here is crystalline ZnIr at its relaxed geometry from the Alexandria database. Energies are from GGA-PBEsol.

a = 2.788 Å, b = 4.411 Å, c = 4.459 Å
α = 90.00°, β = 90.00°, γ = 90.00°
Fractional coordinates of all 4 atoms:
Zn  0.000  0.068  0.500
Zn  0.500  0.932  0.000
Ir  0.000  0.432  0.000
Ir  0.500  0.568  0.500

Summary:
**SG**: Pmmn (59)
**V**: 27.4 Å³/f.u.
**Magnetic moment**: 0.000 μB per formula unit
**Energy relative to the elements**: -0.12 eV/atom

11.
Here is crystalline ZnIr3 at its relaxed geometry from the Alexandria database. Energies are from GGA-PBEsol.

a = 2.699 Å, b = 4.680 Å, c = 4.680 Å
α = 109.72°, β = 90.00°, γ = 90.00°
Fractional coordinates of all 4 atoms:
Zn  0.000  0.500  0.500
Ir  0.000  0.000  0.000
Ir  0.500  0.000  0.500
Ir  0.500  0.500  0.000

Summary:
**SG**: Cmmm (65)
**V**: 55.6 Å³/f.u.
**Magnetic moment**: 0.001 μB per formula unit
**Energy relative to the elements**: -0.02 eV/atom

12.
Here is crystalline ZnIr3 at its relaxed geometry from the Alexandria database. Energies are from GGA-PBEsol.

a = 2.724 Å, b = 4.648 Å, c = 4.656 Å
α = 98.99°, β = 107.01°, γ = 90.00°
Fractional coordinates of all 4 atoms:
Zn  0.000  0.500  0.000
Ir  0.246  0.247  0.492
Ir  0.754  0.753  0.508
Ir  0.500  0.000  0.000

Summary:
**SG**: C2/m (12)
**V**: 55.6 Å³/f.u.
**Magnetic moment**: 0.000 μB per formula unit
**Energy relative to the elements**: -0.05 eV/atom